Below is a relaxed structure of TlAgMo, with properties calculated at the GGA-PBE level.

a = 7.3891 Å, b = 7.2689 Å, c = 2.9004 Å
α = 80.92°, β = 76.27°, γ = 22.81°
With the nearest neighbours (Å) after each atom.
Sites, in units of the cell vectors:
Tl 0.0000 0.0000 0.0000  4 Tl 2.90, 2 Mo 2.98, 2 Ag 3.09
Ag 0.6774 0.6774 0.3226  4 Mo 2.84-3.14, 4 Ag 2.90, 2 Tl 3.09
Mo 0.3324 0.3324 0.6676  4 Ag 2.84-3.14, 4 Mo 2.90, 2 Tl 2.98

energy of formation from the pure elements: 14.95 kcal/mol of atoms
energy above the most stable polymorph in this dataset: 8 meV per atom
space group: Fmm2, No. 42

---

Below is a relaxed structure of TlAgMo, with properties calculated at the GGA-PBE level.

a = 7.1566 Å, b = 7.1566 Å, c = 2.8980 Å
α = 100.66°, β = 100.66°, γ = 23.36°
With the nearest neighbours (Å) after each atom.
Sites, in units of the cell vectors:
Tl 0.0000 0.0000 0.0000  4 Tl 2.90, 4 Mo 3.08-3.10, 2 Ag 3.17
Ag 0.6802 0.6802 0.6993  4 Ag 2.90, 4 Mo 2.93, 2 Tl 3.17
Mo 0.3319 0.3319 0.3379  4 Mo 2.90, 4 Ag 2.93, 4 Tl 3.08-3.10

energy of formation from the pure elements: 14.78 kcal/mol of atoms
energy above the most stable polymorph in this dataset: 1 meV per atom
space group: Cm, No. 8

---

Below is a relaxed structure of Tl3AgMo, with properties calculated at the GGA-PBE level.

a = 5.4512 Å, b = 5.4512 Å, c = 5.4512 Å
α = 90.00°, β = 90.00°, γ = 90.00°
With the nearest neighbours (Å) after each atom.
Sites, in units of the cell vectors:
Tl 0.0000 0.0000 0.5000  2 Ag 2.73
Tl 0.0000 0.5000 0.0000  2 Ag 2.73
Tl 0.5000 0.0000 0.0000  2 Ag 2.73
Ag 0.0000 0.0000 0.0000  6 Tl 2.73
Mo 0.5000 0.5000 0.5000  12 Tl 3.85

energy of formation from the pure elements: 26.16 kcal/mol of atoms
energy above the most stable polymorph in this dataset: 306 meV per atom
space group: Pm-3m, No. 221

---

Below is a relaxed structure of TlAg2Mo, with properties calculated at the GGA-PBE level.

a = 5.6244 Å, b = 5.6244 Å, c = 5.4549 Å
α = 115.33°, β = 115.33°, γ = 29.24°
With the nearest neighbours (Å) after each atom.
Sites, in units of the cell vectors:
Tl 0.0000 0.0000 0.0000  2 Tl 2.84, 3 Mo 2.88-2.95, 7 Ag 3.01-3.13
Ag 0.2392 0.2392 0.5595  5 Ag 2.84-2.96, 3 Tl 3.01-3.13, 4 Mo 3.01-3.14
Ag 0.4871 0.4871 0.4904  5 Ag 2.84-2.96, 3 Mo 2.99-3.14, 4 Tl 3.07-3.09
Mo 0.7488 0.7488 0.0549  2 Mo 2.84, 3 Tl 2.88-2.95, 7 Ag 2.99-3.14

energy of formation from the pure elements: 12.58 kcal/mol of atoms
energy above the most stable polymorph in this dataset: 62 meV per atom
space group: Cm, No. 8

---

Below is a relaxed structure of TlAg2Mo, with properties calculated at the GGA-PBE level.

a = 2.8959 Å, b = 4.4727 Å, c = 6.0489 Å
α = 90.00°, β = 103.81°, γ = 90.00°
With the nearest neighbours (Å) after each atom.
Sites, in units of the cell vectors:
Tl 0.0000 0.0000 0.0000  3 Ag 2.86-2.87, 2 Tl 2.90, 4 Mo 2.95
Ag 0.1552 0.5000 0.3030  1 Mo 2.84, 2 Tl 2.86, 6 Ag 2.90-2.93
Ag 0.7588 0.0000 0.5121  1 Tl 2.87, 6 Ag 2.90-2.93, 4 Mo 3.11
Mo 0.3943 0.5000 0.7856  5 Ag 2.84-3.11, 2 Mo 2.90, 4 Tl 2.95

energy of formation from the pure elements: 13.31 kcal/mol of atoms
energy above the most stable polymorph in this dataset: 94 meV per atom
space group: Pm, No. 6

---

Below is a relaxed structure of TlAg2Mo, with properties calculated at the GGA-PBE level.

a = 5.8911 Å, b = 5.8911 Å, c = 2.8323 Å
α = 102.29°, β = 102.29°, γ = 121.33°
With the nearest neighbours (Å) after each atom.
Sites, in units of the cell vectors:
Tl 0.0000 0.0000 0.0000  2 Tl 2.83, 4 Mo 2.89-3.04, 4 Ag 2.98
Ag 0.0000 0.5000 0.5000  6 Ag 2.83-3.04, 2 Tl 2.98, 2 Mo 2.98
Ag 0.5000 0.0000 0.5000  6 Ag 2.83-3.04, 2 Tl 2.98, 2 Mo 2.98
Mo 0.5000 0.5000 0.0000  2 Mo 2.83, 4 Tl 2.89-3.04, 4 Ag 2.98

energy of formation from the pure elements: 12.50 kcal/mol of atoms
energy above the most stable polymorph in this dataset: 59 meV per atom
space group: C2/m, No. 12

---

Below is a relaxed structure of Tl4AgMo, with properties calculated at the GGA-PBE level.

a = 6.2351 Å, b = 6.2351 Å, c = 6.2351 Å
α = 60.00°, β = 60.00°, γ = 60.00°
With the nearest neighbours (Å) after each atom.
Sites, in units of the cell vectors:
Tl 0.1251 0.1251 0.1251  6 Tl 3.12
Tl 0.1251 0.1251 0.6248  6 Tl 3.12
Tl 0.1251 0.6248 0.1251  6 Tl 3.12
Tl 0.6248 0.1251 0.1251  6 Tl 3.12
Ag 0.7500 0.7500 0.7500  12 Tl 3.66, 4 Mo 3.82
Mo 0.5000 0.5000 0.5000  12 Tl 3.66, 4 Ag 3.82

energy of formation from the pure elements: 21.19 kcal/mol of atoms
space group: F-43m, No. 216

---

Below is a relaxed structure of TlAg2Mo, with properties calculated at the GGA-PBE level.

a = 10.2447 Å, b = 10.2447 Å, c = 10.2447 Å
α = 16.74°, β = 16.74°, γ = 16.74°
With the nearest neighbours (Å) after each atom.
Sites, in units of the cell vectors:
Tl 0.0000 0.0000 0.0000  6 Tl 2.98, 6 Ag 3.21
Ag 0.2438 0.2438 0.2438  3 Mo 2.90, 6 Ag 2.98, 3 Tl 3.21
Ag 0.7562 0.7562 0.7562  3 Mo 2.90, 6 Ag 2.98, 3 Tl 3.21
Mo 0.5000 0.5000 0.5000  6 Ag 2.90, 6 Mo 2.98

energy of formation from the pure elements: 13.32 kcal/mol of atoms
energy above the most stable polymorph in this dataset: 94 meV per atom
space group: R-3m, No. 166

---

Below is a relaxed structure of TlAg2Mo, with properties calculated at the GGA-PBE level.

a = 9.9256 Å, b = 9.9256 Å, c = 9.9256 Å
α = 17.40°, β = 17.40°, γ = 17.40°
With the nearest neighbours (Å) after each atom.
Sites, in units of the cell vectors:
Tl 0.0000 0.0000 0.0000  6 Tl 3.00, 3 Mo 3.04, 3 Ag 3.14
Ag 0.2440 0.2440 0.2440  9 Ag 2.93-3.00, 3 Tl 3.14
Ag 0.4970 0.4970 0.4970  3 Mo 2.88, 9 Ag 2.93-3.00
Mo 0.7518 0.7518 0.7518  3 Ag 2.88, 6 Mo 3.00, 3 Tl 3.04

energy of formation from the pure elements: 12.07 kcal/mol of atoms
energy above the most stable polymorph in this dataset: 40 meV per atom
space group: R3m, No. 160

---

Below is a relaxed structure of TlAg2Mo, with properties calculated at the GGA-PBE level.

a = 2.8588 Å, b = 2.8588 Å, c = 9.5311 Å
α = 90.00°, β = 90.00°, γ = 90.00°
With the nearest neighbours (Å) after each atom.
Sites, in units of the cell vectors:
Tl 0.0000 0.0000 0.0000  4 Tl 2.86
Ag 0.5000 0.5000 0.2767  4 Ag 2.86, 4 Mo 2.94
Ag 0.5000 0.5000 0.7233  4 Ag 2.86, 4 Mo 2.94
Mo 0.0000 0.0000 0.5000  4 Mo 2.86, 8 Ag 2.94

energy of formation from the pure elements: 11.17 kcal/mol of atoms
energy above the most stable polymorph in this dataset: 1 meV per atom
space group: P4/mmm, No. 123

---

Below is a relaxed structure of TlAg2Mo, with properties calculated at the GGA-PBE level.

a = 2.8931 Å, b = 4.2198 Å, c = 6.2060 Å
α = 90.00°, β = 90.00°, γ = 90.00°
With the nearest neighbours (Å) after each atom.
Sites, in units of the cell vectors:
Tl 0.0000 0.0000 0.0000  2 Tl 2.89, 4 Mo 2.98, 6 Ag 3.02-3.19
Ag 0.0000 0.0000 0.5137  6 Ag 2.89-2.93, 4 Mo 2.96, 2 Tl 3.02-3.19
Ag 0.5000 0.5000 0.2826  6 Ag 2.89-2.93, 1 Mo 2.93, 4 Tl 3.10
Mo 0.5000 0.5000 0.7551  2 Mo 2.89, 5 Ag 2.93-2.96, 4 Tl 2.98

energy of formation from the pure elements: 13.62 kcal/mol of atoms
energy above the most stable polymorph in this dataset: 107 meV per atom
space group: Pmm2, No. 25

---

Below is a relaxed structure of TlAg2Mo, with properties calculated at the GGA-PBE level.

a = 6.1914 Å, b = 6.1914 Å, c = 6.1914 Å
α = 102.05°, β = 102.05°, γ = 125.63°
With the nearest neighbours (Å) after each atom.
Sites, in units of the cell vectors:
Tl 0.0000 0.0000 0.0000  2 Mo 2.83, 4 Ag 2.90
Tl 0.7500 0.2500 0.5000  2 Mo 2.83, 4 Ag 2.90
Ag 0.1352 0.6250 0.0102  2 Mo 2.79, 2 Ag 2.83, 2 Tl 2.90
Ag 0.3750 0.3852 0.5102  2 Mo 2.79, 2 Ag 2.83, 2 Tl 2.90
Ag 0.6148 0.1250 0.9898  2 Mo 2.79, 2 Ag 2.83, 2 Tl 2.90
Ag 0.8750 0.8648 0.4898  2 Mo 2.79, 2 Ag 2.83, 2 Tl 2.90
Mo 0.2500 0.7500 0.5000  4 Ag 2.79, 2 Tl 2.83
Mo 0.5000 0.5000 0.0000  4 Ag 2.79, 2 Tl 2.83

energy of formation from the pure elements: 20.88 kcal/mol of atoms
energy above the most stable polymorph in this dataset: 422 meV per atom
space group: I-42d, No. 122

---

Below is a relaxed structure of TlAg2Mo, with properties calculated at the GGA-PBE level.

a = 2.9033 Å, b = 5.0155 Å, c = 5.2246 Å
α = 90.00°, β = 92.71°, γ = 90.00°
With the nearest neighbours (Å) after each atom.
Sites, in units of the cell vectors:
Tl 0.0000 0.0000 0.0000  2 Tl 2.90, 4 Mo 2.93-3.05, 4 Ag 2.95
Ag 0.2220 0.5000 0.7358  4 Ag 2.73-3.01, 2 Mo 2.92, 2 Tl 2.95
Ag 0.7780 0.5000 0.2642  4 Ag 2.73-3.01, 2 Mo 2.92, 2 Tl 2.95
Mo 0.5000 0.0000 0.5000  2 Mo 2.90, 4 Ag 2.92, 4 Tl 2.93-3.05

energy of formation from the pure elements: 13.37 kcal/mol of atoms
energy above the most stable polymorph in this dataset: 97 meV per atom
space group: P2/m, No. 10

---

Below is a relaxed structure of Tl3AgMo, with properties calculated at the GGA-PBE level.

a = 5.3933 Å, b = 5.3933 Å, c = 5.3933 Å
α = 90.00°, β = 90.00°, γ = 90.00°
With the nearest neighbours (Å) after each atom.
Sites, in units of the cell vectors:
Tl 0.0000 0.0000 0.5000  2 Mo 2.70
Tl 0.0000 0.5000 0.0000  2 Mo 2.70
Tl 0.5000 0.0000 0.0000  2 Mo 2.70
Ag 0.5000 0.5000 0.5000  12 Tl 3.81
Mo 0.0000 0.0000 0.0000  6 Tl 2.70

energy of formation from the pure elements: 19.10 kcal/mol of atoms
energy above the most stable polymorph in this dataset: 0 meV per atom
space group: Pm-3m, No. 221

---

Below is a relaxed structure of TlAgMo3, with properties calculated at the GGA-PBE level.

a = 4.8355 Å, b = 4.8355 Å, c = 4.8355 Å
α = 90.00°, β = 90.00°, γ = 90.00°
With the nearest neighbours (Å) after each atom.
Sites, in units of the cell vectors:
Tl 0.0000 0.0000 0.0000  12 Mo 3.42
Ag 0.5000 0.5000 0.5000  6 Mo 2.42
Mo 0.0000 0.5000 0.5000  2 Ag 2.42
Mo 0.5000 0.0000 0.5000  2 Ag 2.42
Mo 0.5000 0.5000 0.0000  2 Ag 2.42

energy of formation from the pure elements: 52.96 kcal/mol of atoms
energy above the most stable polymorph in this dataset: 0 meV per atom
space group: Pm-3m, No. 221

---

Asked for Fermi-level density of states across the records above, the calculation gives 1.7 2.1 3.3 2.6 3.1 1.9 4.0 5.8 3.6 2.1 3.1 7.2 2.9 4.4 10.4 states/eV/cell in order.
Asked for raw total energy across the records above, the calculation gives -14.104 -14.126 -15.108 -16.718 -16.591 -16.732 -17.634 -16.589 -16.806 -16.962 -16.537 -30.556 -16.580 -16.639 -26.228 eV for the cell shown in order.